No. 1
Computed, not measured: crystalline ZrIn2Tc at its relaxed geometry at the PBE-GGA level of DFT.

## Properties
Its magnetization is 0.00 μB per atom. For the energy of formation from the pure elements, the calculation gives -0.01 eV/atom. The calculation puts the total DFT energy (no corrections) at -6.11 eV per atom.

Cell lengths 10.6864, 3.5130, 4.8223 Å; angles 90.00, 116.74, 90.00 degrees
Closest atoms and distances in Å follow each position.
Space group Cm (No. 8)
One atom of each set of equivalent atoms:
Zr 0.0000 0.0000 0.0000 x2  2 Tc 2.68
In 0.2269 0.0000 0.7267 x2  4 Tc 2.99, 4 In 3.12-3.26, 4 Zr 3.14-3.24
In 0.4566 0.0000 0.4565 x2  2 Tc 2.92, 4 Zr 3.01, 4 In 3.12-3.26
Tc 0.2127 0.5000 0.2127 x2  2 Zr 2.68, 6 In 2.92-2.99

***

No. 2
Computed, not measured: crystalline Li4Tm3US8 at its relaxed geometry at the PBE-GGA level of DFT.

## Properties
Its magnetization is 0.19 μB per atom. Its uncorrected formation energy is -1.713 eV/atom. The calculation puts the total DFT energy (no corrections) at -5.80 eV per atom.

Cell lengths 7.7406, 7.7406, 18.5327 Å; angles 90.00, 90.00, 120.00 degrees
Closest atoms and distances in Å follow each position.
Space group R-3m (No. 166, hexagonal axes)
One atom of each set of equivalent atoms:
Li 0.0000 0.0000 0.0000 x3  6 S 2.69
Li 0.0000 0.5000 0.0000 x9  6 S 2.72
Tm 0.0000 0.5000 0.5000 x9  6 S 2.71
U 0.0000 0.0000 0.5000 x3  6 S 2.74
S 0.0000 0.0000 0.2493 x6  3 Tm 2.71, 3 Li 2.72
S 0.0035 0.5018 0.7497 x18  3 Li 2.69-2.72, 2 Tm 2.71, 1 U 2.74

***

No. 3
Computed, not measured: crystalline CuNiRh2 at its relaxed geometry at the PBE-GGA level of DFT.

## Properties
Its magnetization is 0.00 μB per atom. For the energy of formation from the pure elements, the calculation gives 0.04 eV/atom. The calculation puts the total DFT energy (no corrections) at -6.11 eV per atom.

Cell lengths 3.7013, 3.7013, 7.5380 Å; angles 90.00, 90.00, 90.00 degrees
Closest atoms and distances in Å follow each position.
Space group I-4m2 (No. 119)
One atom of each set of equivalent atoms:
Cu 0.0000 0.0000 0.0000 x2  8 Rh 2.62-2.64, 4 Ni 2.64
Ni 0.0000 0.5000 0.7500 x2  8 Rh 2.62-2.64, 4 Cu 2.64
Rh 0.0000 0.0000 0.5000 x2  4 Cu 2.62, 4 Rh 2.64, 4 Ni 2.64
Rh 0.0000 0.5000 0.2500 x2  4 Ni 2.62, 4 Cu 2.64, 4 Rh 2.64

***

No. 4
Computed, not measured: crystalline LiP2Au at its relaxed geometry at the PBE-GGA level of DFT.

## Properties
Its magnetization is 0.00 μB per atom. For the energy of formation from the pure elements, the calculation gives -0.29 eV/atom. The calculation puts the total DFT energy (no corrections) at -4.29 eV per atom.

Cell lengths 10.3679, 3.3089, 5.0289 Å; angles 90.00, 114.51, 90.00 degrees
Closest atoms and distances in Å follow each position.
Space group C2/m (No. 12)
One atom of each set of equivalent atoms:
Li 0.0000 0.0000 0.0000 x2  2 P 2.46
P 0.2420 0.5000 0.8441 x4  2 P 2.24, 1 Au 2.38, 1 Li 2.46
Au 0.0000 0.5000 0.5000 x2  2 P 2.38